Entry 1:
DFT (PBE) results for crystalline Mg3Zn2Ag7 at its relaxed geometry.

Cell: 4.348 4.347 11.465 Å, 79.70 100.29 89.40°
Element x y z (fractional)
Ag 0.412 0.087 0.825
Ag 0.913 0.588 0.825
Ag 0.249 0.249 0.500
Ag 0.588 0.913 0.175
Ag 0.751 0.751 0.500
Ag 0.000 0.000 0.000
Ag 0.087 0.412 0.175
Mg 0.668 0.332 0.337
Mg 0.332 0.668 0.663
Mg 0.500 0.500 0.000
Zn 0.832 0.168 0.664
Zn 0.168 0.832 0.336

Results
Calculated formation energy = -0.1487 eV/atom
N(E_F) = 0.222 states/eV per atom
SG = C2/m (12)
Electronic total energy = -0.1781 Ry/atom
Crystal system = monoclinic

Entry 2:
DFT (PBE) results for crystalline Mg2ZnAg at its relaxed geometry.

Cell: 7.508 7.508 6.062 Å, 51.74 51.74 90.00°
Element x y z (fractional)
Ag 0.750 0.250 0.500
Ag 0.000 0.000 0.000
Mg 0.624 0.125 0.250
Mg 0.375 0.376 0.750
Mg 0.875 0.874 0.750
Mg 0.126 0.625 0.250
Zn 0.250 0.750 0.500
Zn 0.500 0.500 0.000

Results
Calculated formation energy = 0.1286 eV/atom
N(E_F) = 0.432 states/eV per atom
SG = I-42d (122)
Electronic total energy = -0.1249 Ry/atom
Crystal system = tetragonal

Entry 3:
DFT (PBE) results for crystalline Mg2ZnAg2 at its relaxed geometry.

Cell: 7.651 7.651 3.282 Å, 90.00 90.00 90.00°
Element x y z (fractional)
Ag 0.855 0.355 0.500
Ag 0.145 0.645 0.500
Ag 0.645 0.855 0.500
Ag 0.355 0.145 0.500
Mg 0.651 0.151 0.000
Mg 0.349 0.849 0.000
Mg 0.849 0.651 0.000
Mg 0.151 0.349 0.000
Zn 0.000 0.000 0.000
Zn 0.500 0.500 0.000

Results
Calculated formation energy = -0.0109 eV/atom
N(E_F) = 0.240 states/eV per atom
SG = P4/mbm (127)
Electronic total energy = -0.1502 Ry/atom
Crystal system = tetragonal

Entry 4:
DFT (PBE) results for crystalline MgZn2Ag at its relaxed geometry.

Cell: 9.522 9.522 9.522 Å, 17.71 17.71 17.71°
Element x y z (fractional)
Zn 0.997 0.997 0.997
Zn 0.503 0.503 0.503
Mg 0.750 0.750 0.750
Ag 0.250 0.250 0.250

Results
Calculated formation energy = 0.0244 eV/atom
N(E_F) = 0.313 states/eV per atom
SG = R-3m (166)
Electronic total energy = -0.1267 Ry/atom
Crystal system = trigonal